Entry 1:
First-principles (PBE-GGA) data for crystalline Ti3CdTc2 at its relaxed geometry, as listed in Alexandria via LeMat-Bulk.

Lattice parameters (Å, degrees): 3.158 3.158 9.867 90.00 90.00 90.00
Atoms (fractional coordinates):
Tc (0.500, 0.500, 0.839)
Tc (0.500, 0.500, 0.161)
Ti (0.000, 0.000, 0.700)
Ti (0.000, 0.000, 0.300)
Ti (0.000, 0.000, 0.000)
Cd (0.500, 0.500, 0.500)

Calculated values
As for the formation energy: -378 meV/atom.

=====

Entry 2:
First-principles (PBE-GGA) data for crystalline BeRuBr2 at its relaxed geometry, as listed in Alexandria via LeMat-Bulk.

Lattice parameters (Å, degrees): 4.080 3.476 5.308 92.50 90.00 90.00
Atoms (fractional coordinates):
Be (0.500, 0.750, 0.750)
Br (0.000, 0.010, 0.001)
Br (0.000, 0.490, 0.499)
Ru (0.500, 0.250, 0.250)

Calculated values
Its formation energy (no corrections) is 0.8242 eV per atom. As for the energy above the most stable polymorph in this dataset: 0.827 eV per atom.

=====

Entry 3:
First-principles (PBE-GGA) data for crystalline SmAs2Rh5Pb at its relaxed geometry, as listed in Alexandria via LeMat-Bulk.

Lattice parameters (Å, degrees): 4.097 4.097 10.892 90.00 90.00 90.00
Atoms (fractional coordinates):
Sm (0.000, 0.000, 0.500)
Rh (0.500, 0.000, 0.830)
Rh (0.500, 0.000, 0.170)
Rh (0.000, 0.500, 0.830)
Rh (0.000, 0.500, 0.170)
Rh (0.500, 0.500, 0.500)
As (0.500, 0.500, 0.283)
As (0.500, 0.500, 0.717)
Pb (0.000, 0.000, 0.000)

Calculated values
As for the formation energy: -381 meV/atom.

=====

Entry 4:
First-principles (PBE-GGA) data for crystalline Fe2Te at its relaxed geometry, as listed in Alexandria via LeMat-Bulk.

Lattice parameters (Å, degrees): 8.016 8.016 3.796 90.00 90.00 152.67
Atoms (fractional coordinates):
Te (0.113, 0.887, 0.750)
Te (0.887, 0.113, 0.250)
Fe (0.250, 0.750, 0.250)
Fe (0.651, 0.349, 0.250)
Fe (0.750, 0.250, 0.750)
Fe (0.349, 0.651, 0.750)

Calculated values
Its formation energy (no corrections) is 0.1544 eV per atom.

=====

Entry 5:
First-principles (PBE-GGA) data for crystalline KNaAg2S2 at its relaxed geometry, as listed in Alexandria via LeMat-Bulk.

Lattice parameters (Å, degrees): 4.369 4.369 8.443 90.00 90.00 120.00
Atoms (fractional coordinates):
S (0.667, 0.333, 0.728)
S (0.333, 0.667, 0.272)
K (0.000, 0.000, 0.000)
Ag (0.667, 0.333, 0.285)
Ag (0.333, 0.667, 0.715)
Na (0.000, 0.000, 0.500)

Calculated values
Its formation energy (no corrections) is -0.6130 eV per atom.

=====

Entry 6:
First-principles (PBE-GGA) data for crystalline Gd2PuSc at its relaxed geometry, as listed in Alexandria via LeMat-Bulk.

Lattice parameters (Å, degrees): 3.462 3.462 9.728 90.00 90.00 90.00
Atoms (fractional coordinates):
Pu (0.500, 0.500, 0.500)
Gd (0.000, 0.000, 0.244)
Gd (0.000, 0.000, 0.756)
Sc (0.500, 0.500, 0.000)

Calculated values
As for the formation energy: 131 meV/atom. As for the energy above the most stable polymorph in this dataset: 0.000 eV per atom.